## LaTe2Os (SCAN)

Data for LaTe2Os at its PBEsol-relaxed geometry.

Geometry as CIF:
```
data_LaTe2Os
_space_group_name_H-M_alt 'A m m 2'
_space_group_IT_number 38
_space_group_name_Hall 'A 2 -2'
_cell_length_a 3.8986
_cell_length_b 4.3611
_cell_length_c 12.9948
_cell_angle_alpha 90.00
_cell_angle_beta 90.00
_cell_angle_gamma 90.00
loop_
_atom_site_label
_atom_site_type_symbol
_atom_site_fract_x
_atom_site_fract_y
_atom_site_fract_z
La1 La 0.0000 0.0000 0.0000
Te1 Te 0.0000 0.0000 0.2971
Te2 Te 0.5000 0.0000 0.6280
Os1 Os 0.5000 0.0000 0.4291
```

Results
volume	220.9	Å³/cell
density of states at the Fermi level	0.75	states/eV/atom
calculated total energy	-382.599	eV per cell
energy above the most stable polymorph in this dataset	0	meV/atom


## RbBaIr2 (SCAN)

Data for RbBaIr2 at its PBEsol-relaxed geometry.

Geometry as CIF:
```
data_RbBaIr2
_space_group_name_H-M_alt 'F m -3 m'
_space_group_IT_number 225
_space_group_name_Hall '-F 4 2 3'
_cell_length_a 7.3411
_cell_length_b 7.3411
_cell_length_c 7.3411
_cell_angle_alpha 90.00
_cell_angle_beta 90.00
_cell_angle_gamma 90.00
loop_
_atom_site_label
_atom_site_type_symbol
_atom_site_fract_x
_atom_site_fract_y
_atom_site_fract_z
Rb1 Rb 0.0000 0.0000 0.0000
Ba1 Ba 0.0000 0.0000 0.5000
Ir1 Ir 0.2500 0.2500 0.2500
```

Results
formation energy from the elements	1268	meV/atom
volume	395.6	Å³/cell
density of states at the Fermi level	0.73	states/eV/atom
calculated total energy	-789.663	eV per cell


## KTl2Se2 (SCAN)

Data for KTl2Se2 at its PBEsol-relaxed geometry.

Geometry as CIF:
```
data_KTl2Se2
_space_group_name_H-M_alt 'I 4/m m m'
_space_group_IT_number 139
_space_group_name_Hall '-I 4 2'
_cell_length_a 5.5013
_cell_length_b 5.5013
_cell_length_c 9.9403
_cell_angle_alpha 90.00
_cell_angle_beta 90.00
_cell_angle_gamma 90.00
loop_
_atom_site_label
_atom_site_type_symbol
_atom_site_fract_x
_atom_site_fract_y
_atom_site_fract_z
K1 K 0.0000 0.0000 0.0000
Tl1 Tl 0.0000 0.0000 0.3497
Se1 Se 0.0000 0.5000 0.2500
```

Results
volume	300.8	Å³/cell
density of states at the Fermi level	0.19	states/eV/atom
calculated total energy	-392.091	eV per cell


## Y2AlIn (SCAN)

Data for Y2AlIn at its PBEsol-relaxed geometry.

Geometry as CIF:
```
data_Y2AlIn
_space_group_name_H-M_alt 'C m m m'
_space_group_IT_number 65
_space_group_name_Hall '-C 2 2'
_cell_length_a 6.9540
_cell_length_b 7.9339
_cell_length_c 3.4835
_cell_angle_alpha 90.00
_cell_angle_beta 90.00
_cell_angle_gamma 90.00
loop_
_atom_site_label
_atom_site_type_symbol
_atom_site_fract_x
_atom_site_fract_y
_atom_site_fract_z
Y1 Y 0.2500 0.2500 0.0000
Al1 Al 0.0000 0.0000 0.5000
In1 In 0.0000 0.5000 0.5000
```

Results
formation energy from the elements	-534	meV/atom
volume	192.2	Å³/cell
density of states at the Fermi level	0.35	states/eV/atom
calculated total energy	-197.919	eV per cell


## MgCd3B (SCAN)

Data for MgCd3B at its PBEsol-relaxed geometry.

Geometry as CIF:
```
data_MgCd3B
_space_group_name_H-M_alt 'P m -3 m'
_space_group_IT_number 221
_space_group_name_Hall '-P 4 2 3'
_cell_length_a 5.1645
_cell_length_b 5.1645
_cell_length_c 5.1645
_cell_angle_alpha 90.00
_cell_angle_beta 90.00
_cell_angle_gamma 90.00
loop_
_atom_site_label
_atom_site_type_symbol
_atom_site_fract_x
_atom_site_fract_y
_atom_site_fract_z
Mg1 Mg 0.0000 0.0000 0.0000
Cd1 Cd 0.0000 0.0000 0.5000
B1 B 0.5000 0.5000 0.5000
```

Results
formation energy from the elements	1399	meV/atom
volume	137.7	Å³/cell
density of states at the Fermi level	0.46	states/eV/atom
calculated total energy	-96.653	eV per cell


## DyScS3 (SCAN)

Data for DyScS3 at its PBEsol-relaxed geometry.

Geometry as CIF:
```
data_DyScS3
_space_group_name_H-M_alt 'P n m a'
_space_group_IT_number 62
_space_group_name_Hall '-P 2ac 2n'
_cell_length_a 6.9628
_cell_length_b 9.3574
_cell_length_c 6.2623
_cell_angle_alpha 90.00
_cell_angle_beta 90.00
_cell_angle_gamma 90.00
loop_
_atom_site_label
_atom_site_type_symbol
_atom_site_fract_x
_atom_site_fract_y
_atom_site_fract_z
Dy1 Dy 0.1060 0.2500 0.0431
Sc1 Sc 0.0000 0.0000 0.5000
S1 S 0.0463 0.7500 0.3537
S2 S 0.1824 0.5703 0.8292
```

Results
volume	408.0	Å³/cell
density of states at the Fermi level	0.00	states/eV/atom
calculated total energy	-409.094	eV per cell


## Li3HgPt (SCAN)

Data for Li3HgPt at its PBEsol-relaxed geometry.

Geometry as CIF:
```
data_Li3HgPt
_space_group_name_H-M_alt 'P m -3 m'
_space_group_IT_number 221
_space_group_name_Hall '-P 4 2 3'
_cell_length_a 4.6749
_cell_length_b 4.6749
_cell_length_c 4.6749
_cell_angle_alpha 90.00
_cell_angle_beta 90.00
_cell_angle_gamma 90.00
loop_
_atom_site_label
_atom_site_type_symbol
_atom_site_fract_x
_atom_site_fract_y
_atom_site_fract_z
Li1 Li 0.0000 0.0000 0.5000
Hg1 Hg 0.5000 0.5000 0.5000
Pt1 Pt 0.0000 0.0000 0.0000
```

Results
formation energy from the elements	-204	meV/atom
volume	102.2	Å³/cell
density of states at the Fermi level	0.39	states/eV/atom
calculated total energy	-146.547	eV per cell


## ScCd2Ru (SCAN)

Data for ScCd2Ru at its PBEsol-relaxed geometry.

Geometry as CIF:
```
data_ScCd2Ru
_space_group_name_H-M_alt 'I -4 m 2'
_space_group_IT_number 119
_space_group_name_Hall 'I -4 -2'
_cell_length_a 4.1537
_cell_length_b 4.1537
_cell_length_c 8.1389
_cell_angle_alpha 90.00
_cell_angle_beta 90.00
_cell_angle_gamma 90.00
loop_
_atom_site_label
_atom_site_type_symbol
_atom_site_fract_x
_atom_site_fract_y
_atom_site_fract_z
Sc1 Sc 0.0000 0.0000 0.0000
Cd1 Cd 0.0000 0.0000 0.5000
Cd2 Cd 0.0000 0.5000 0.2500
Ru1 Ru 0.0000 0.5000 0.7500
```

Results
formation energy from the elements	-151	meV/atom
volume	140.4	Å³/cell
density of states at the Fermi level	0.50	states/eV/atom
calculated total energy	-220.994	eV per cell


What did the fifth record say?
## MgCd3B (SCAN)

Data for MgCd3B at its PBEsol-relaxed geometry.

Geometry as CIF:
```
data_MgCd3B
_space_group_name_H-M_alt 'P m -3 m'
_space_group_IT_number 221
_space_group_name_Hall '-P 4 2 3'
_cell_length_a 5.1645
_cell_length_b 5.1645
_cell_length_c 5.1645
_cell_angle_alpha 90.00
_cell_angle_beta 90.00
_cell_angle_gamma 90.00
loop_
_atom_site_label
_atom_site_type_symbol
_atom_site_fract_x
_atom_site_fract_y
_atom_site_fract_z
Mg1 Mg 0.0000 0.0000 0.0000
Cd1 Cd 0.0000 0.0000 0.5000
B1 B 0.5000 0.5000 0.5000
```

Results
formation energy from the elements	1399	meV/atom
volume	137.7	Å³/cell
density of states at the Fermi level	0.46	states/eV/atom
calculated total energy	-96.653	eV per cell


Repeat the first record exactly.
## LaTe2Os (SCAN)

Data for LaTe2Os at its PBEsol-relaxed geometry.

Geometry as CIF:
```
data_LaTe2Os
_space_group_name_H-M_alt 'A m m 2'
_space_group_IT_number 38
_space_group_name_Hall 'A 2 -2'
_cell_length_a 3.8986
_cell_length_b 4.3611
_cell_length_c 12.9948
_cell_angle_alpha 90.00
_cell_angle_beta 90.00
_cell_angle_gamma 90.00
loop_
_atom_site_label
_atom_site_type_symbol
_atom_site_fract_x
_atom_site_fract_y
_atom_site_fract_z
La1 La 0.0000 0.0000 0.0000
Te1 Te 0.0000 0.0000 0.2971
Te2 Te 0.5000 0.0000 0.6280
Os1 Os 0.5000 0.0000 0.4291
```

Results
volume	220.9	Å³/cell
density of states at the Fermi level	0.75	states/eV/atom
calculated total energy	-382.599	eV per cell
energy above the most stable polymorph in this dataset	0	meV/atom


What did the first record say?
## LaTe2Os (SCAN)

Data for LaTe2Os at its PBEsol-relaxed geometry.

Geometry as CIF:
```
data_LaTe2Os
_space_group_name_H-M_alt 'A m m 2'
_space_group_IT_number 38
_space_group_name_Hall 'A 2 -2'
_cell_length_a 3.8986
_cell_length_b 4.3611
_cell_length_c 12.9948
_cell_angle_alpha 90.00
_cell_angle_beta 90.00
_cell_angle_gamma 90.00
loop_
_atom_site_label
_atom_site_type_symbol
_atom_site_fract_x
_atom_site_fract_y
_atom_site_fract_z
La1 La 0.0000 0.0000 0.0000
Te1 Te 0.0000 0.0000 0.2971
Te2 Te 0.5000 0.0000 0.6280
Os1 Os 0.5000 0.0000 0.4291
```

Results
volume	220.9	Å³/cell
density of states at the Fermi level	0.75	states/eV/atom
calculated total energy	-382.599	eV per cell
energy above the most stable polymorph in this dataset	0	meV/atom


> The lowest volume belongs to which entry?

Li3HgPt